Entry 1:
A crystal of Al2BiC2 relaxed with PBEsol, computed with meta-GGA SCAN.

Output
DOS(E_F): 0.349 states/eV/atom
formation energy from the elements: 1049 meV per atom
calculated total energy: -21.807 eV/atom

Cell lengths 5.552, 5.552, 5.552 Å; angles 138.89, 138.89, 59.54 degrees
Atoms (fractional coordinates):
1 Al 0.176 0.176 0.000
2 Al 0.824 0.824 0.000
3 Bi 0.500 0.500 0.000
4 C 0.250 0.750 0.500
5 C 0.750 0.250 0.500


Entry 2:
A crystal of Ca5Al2Bi6 relaxed with PBEsol, computed with meta-GGA SCAN.

Output
DOS(E_F): 0.243 states/eV/atom
formation energy from the elements: -667 meV per atom
calculated total energy: -41.844 eV/atom

Cell lengths 7.588, 23.580, 4.588 Å; angles 90.00, 90.00, 90.00 degrees
Atoms (fractional coordinates):
1 Ca 0.000 0.000 0.000
2 Ca 0.035 0.411 0.000
3 Ca 0.229 0.245 0.000
4 Ca 0.271 0.745 0.000
5 Ca 0.465 0.911 0.000
6 Ca 0.500 0.500 0.000
7 Ca 0.535 0.089 0.000
8 Ca 0.729 0.255 0.000
9 Ca 0.771 0.755 0.000
10 Ca 0.965 0.589 0.000
11 Al 0.182 0.121 0.500
12 Al 0.318 0.621 0.500
13 Al 0.682 0.379 0.500
14 Al 0.818 0.879 0.500
15 Bi 0.011 0.688 0.500
16 Bi 0.037 0.864 0.000
17 Bi 0.207 0.503 0.500
18 Bi 0.293 0.003 0.500
19 Bi 0.463 0.364 0.000
20 Bi 0.489 0.188 0.500
21 Bi 0.511 0.812 0.500
22 Bi 0.537 0.636 0.000
23 Bi 0.707 0.997 0.500
24 Bi 0.793 0.497 0.500
25 Bi 0.963 0.136 0.000
26 Bi 0.989 0.312 0.500


Entry 3:
A crystal of Al2CdBi relaxed with PBEsol, computed with meta-GGA SCAN.

Output
DOS(E_F): 0.501 states/eV/atom
formation energy from the elements: 298 meV per atom
calculated total energy: -30.826 eV/atom

Cell lengths 6.337, 6.337, 6.337 Å; angles 102.75, 102.75, 123.97 degrees
Atoms (fractional coordinates):
1 Al 0.120 0.125 0.495
2 Al 0.375 0.880 0.005
3 Al 0.630 0.625 0.505
4 Al 0.875 0.370 0.995
5 Cd 0.000 0.000 0.000
6 Cd 0.750 0.250 0.500
7 Bi 0.250 0.750 0.500
8 Bi 0.500 0.500 0.000


Entry 4:
A crystal of RbAlCdBi2 relaxed with PBEsol, computed with meta-GGA SCAN.

Output
DOS(E_F): 0.417 states/eV/atom
formation energy from the elements: 522 meV per atom
calculated total energy: -42.691 eV/atom

Cell lengths 5.640, 5.640, 6.063 Å; angles 90.00, 90.00, 90.00 degrees
Atoms (fractional coordinates):
1 Rb 0.000 0.000 0.000
2 Al 0.500 0.500 0.000
3 Cd 0.000 0.000 0.500
4 Bi 0.000 0.500 0.500
5 Bi 0.500 0.000 0.500


Entry 5:
A crystal of TiAlCd2Bi relaxed with PBEsol, computed with meta-GGA SCAN.

Output
DOS(E_F): 0.793 states/eV/atom
formation energy from the elements: 1130 meV per atom
calculated total energy: -31.508 eV/atom

Cell lengths 5.523, 5.523, 5.322 Å; angles 90.00, 90.00, 90.00 degrees
Atoms (fractional coordinates):
1 Ti 0.000 0.000 0.000
2 Al 0.500 0.500 0.000
3 Cd 0.000 0.500 0.500
4 Cd 0.500 0.000 0.500
5 Bi 0.500 0.500 0.500


Entry 6:
A crystal of Al3BiCl relaxed with PBEsol, computed with meta-GGA SCAN.

Output
DOS(E_F): 0.560 states/eV/atom
formation energy without anion corrections: 0.56 eV per atom
calculated total energy: -21.399 eV/atom

Cell lengths 4.963, 4.963, 4.963 Å; angles 90.00, 90.00, 90.00 degrees
Atoms (fractional coordinates):
1 Al 0.000 0.000 0.500
2 Al 0.000 0.500 0.000
3 Al 0.500 0.000 0.000
4 Bi 0.500 0.500 0.500
5 Cl 0.000 0.000 0.000


Entry 7:
A crystal of AlBiSCl4 relaxed with PBEsol, computed with meta-GGA SCAN.

Output
DOS(E_F): 0.000 states/eV/atom
formation energy without anion corrections: -1.25 eV per atom
calculated total energy: -19.521 eV/atom

Cell lengths 10.014, 10.014, 10.014 Å; angles 108.10, 108.10, 112.25 degrees
Atoms (fractional coordinates):
1 Al 0.097 0.219 0.731
2 Al 0.487 0.366 0.269
3 Al 0.634 0.903 0.122
4 Al 0.781 0.513 0.878
5 Bi 0.290 0.571 0.593
6 Bi 0.304 0.710 0.281
7 Bi 0.429 0.023 0.719
8 Bi 0.977 0.696 0.407
9 S 0.070 0.484 0.303
10 S 0.181 0.767 0.697
11 S 0.233 0.930 0.414
12 S 0.516 0.819 0.586
13 Cl 0.004 0.313 0.581
14 Cl 0.046 0.668 0.987
15 Cl 0.107 0.324 0.957
16 Cl 0.330 0.277 0.737
17 Cl 0.332 0.319 0.378
18 Cl 0.367 0.150 0.043
19 Cl 0.406 0.670 0.947
20 Cl 0.540 0.594 0.263
21 Cl 0.577 0.996 0.310
22 Cl 0.676 0.633 0.783
23 Cl 0.681 0.059 0.013
24 Cl 0.687 0.267 0.690
25 Cl 0.723 0.460 0.053
26 Cl 0.733 0.423 0.419
27 Cl 0.850 0.893 0.217
28 Cl 0.941 0.954 0.622


Entry 8:
A crystal of AlBiTeCl4 relaxed with PBEsol, computed with meta-GGA SCAN.

Output
DOS(E_F): 0.000 states/eV/atom
formation energy without anion corrections: -1.22 eV per atom
calculated total energy: -23.429 eV/atom

Cell lengths 10.359, 10.359, 10.359 Å; angles 108.12, 108.12, 112.21 degrees
Atoms (fractional coordinates):
1 Al 0.151 0.379 0.625
2 Al 0.473 0.849 0.228
3 Al 0.621 0.245 0.772
4 Al 0.755 0.527 0.375
5 Bi 0.288 0.183 0.227
6 Bi 0.817 0.043 0.105
7 Bi 0.938 0.712 0.895
8 Bi 0.957 0.062 0.773
9 Te 0.020 0.920 0.215
10 Te 0.080 0.295 0.100
11 Te 0.195 0.980 0.900
12 Te 0.705 0.805 0.785
13 Cl 0.138 0.586 0.710
14 Cl 0.217 0.699 0.116
15 Cl 0.246 0.331 0.811
16 Cl 0.301 0.417 0.518
17 Cl 0.414 0.125 0.552
18 Cl 0.521 0.435 0.189
19 Cl 0.536 0.077 0.238
20 Cl 0.565 0.754 0.086
21 Cl 0.573 0.862 0.448
22 Cl 0.583 0.101 0.884
23 Cl 0.669 0.479 0.914
24 Cl 0.702 0.464 0.542
25 Cl 0.839 0.298 0.762
26 Cl 0.875 0.427 0.290
27 Cl 0.899 0.783 0.482
28 Cl 0.923 0.161 0.458


Entry 9:
A crystal of Al3CoBi relaxed with PBEsol, computed with meta-GGA SCAN.

Output
DOS(E_F): 0.492 states/eV/atom
formation energy from the elements: 1572 meV per atom
calculated total energy: -22.256 eV/atom

Cell lengths 5.368, 5.368, 5.368 Å; angles 90.00, 90.00, 90.00 degrees
Atoms (fractional coordinates):
1 Al 0.000 0.000 0.500
2 Al 0.000 0.500 0.000
3 Al 0.500 0.000 0.000
4 Co 0.500 0.500 0.500
5 Bi 0.000 0.000 0.000


Entry 10:
A crystal of AlCoBi2Pt relaxed with PBEsol, computed with meta-GGA SCAN.

Output
DOS(E_F): 0.479 states/eV/atom
formation energy from the elements: 825 meV per atom
calculated total energy: -49.657 eV/atom

Cell lengths 5.284, 5.284, 4.527 Å; angles 90.00, 90.00, 90.00 degrees
Atoms (fractional coordinates):
1 Al 0.000 0.000 0.000
2 Co 0.500 0.500 0.500
3 Bi 0.000 0.500 0.000
4 Bi 0.500 0.000 0.000
5 Pt 0.000 0.000 0.500


Entry 11:
A crystal of AlCrBi3 relaxed with PBEsol, computed with meta-GGA SCAN.

Output
DOS(E_F): 0.766 states/eV/atom
formation energy from the elements: 662 meV per atom
calculated total energy: -51.713 eV/atom

Cell lengths 5.173, 5.173, 5.173 Å; angles 90.00, 90.00, 90.00 degrees
Atoms (fractional coordinates):
1 Al 0.000 0.000 0.000
2 Cr 0.500 0.500 0.500
3 Bi 0.000 0.500 0.500
4 Bi 0.500 0.000 0.500
5 Bi 0.500 0.500 0.000


Entry 12:
A crystal of AlCr2Bi2 relaxed with PBEsol, computed with meta-GGA SCAN.

Output
DOS(E_F): 0.855 states/eV/atom
formation energy from the elements: 658 meV per atom
calculated total energy: -39.678 eV/atom

Cell lengths 9.903, 9.903, 9.903 Å; angles 160.74, 160.74, 27.37 degrees
Atoms (fractional coordinates):
1 Al 0.000 0.000 0.000
2 Cr 0.250 0.750 0.500
3 Cr 0.750 0.250 0.500
4 Bi 0.370 0.370 0.000
5 Bi 0.630 0.630 0.000